# Tm8AlPd2

Tm8AlPd2 after structural relaxation (PBE, Alexandria via LeMat-Bulk).

abc: 5.322 7.967 7.967
angles: 115.08 99.00 99.00
Positions (direct):
Tm1 0.584 0.331 0.086
Tm2 0.584 0.086 0.331
Tm3 0.189 0.389 0.389
Tm4 0.000 0.238 0.768
Tm5 0.000 0.768 0.238
Tm6 0.810 0.617 0.617
Tm7 0.415 0.920 0.675
Tm8 0.415 0.675 0.920
Al1 0.000 0.003 0.003
Pd1 0.500 0.699 0.308
Pd2 0.500 0.308 0.699

Calculated values
formation energy from the elements = -0.31 eV/atom
space-group type = C2/m (12)
volume = 26.61 Å³ per atom
N(E_F) = 14.2 states/eV/cell